Crystalline SmScCdOs at its relaxed geometry. Source: Alexandria via LeMat-Bulk, functional PBE.

POSCAR file:
```
SmScCdOs
1.0
3.388 0.000 0.000
0.000 3.388 0.000
0.000 0.000 7.629
Sm Sc Cd Os
1 1 1 1
Cartesian
0.000 0.000 0.000
0.000 0.000 4.382
1.694 1.694 2.425
1.694 1.694 5.813
```

## Properties
Energy relative to the elements ... -0.30 eV per atom

---

Crystalline KSrTaN3 at its relaxed geometry. Source: Alexandria via LeMat-Bulk, functional PBE.

POSCAR file:
```
KSrTaN3
1.0
3.088 -6.187 0.000
3.088 6.187 0.000
-0.316 0.000 5.807
K Sr Ta N
2 2 2 6
Cartesian
2.851 3.129 4.355
3.009 -3.129 1.452
3.009 1.080 1.452
2.851 -1.080 4.355
3.009 5.537 1.452
2.851 -5.537 4.355
3.009 3.631 1.452
1.185 0.119 2.902
1.027 -0.119 5.806
4.833 0.119 0.001
4.675 -0.119 2.905
2.851 -3.631 4.355
```

## Properties
Energy relative to the elements, uncorrected ... -0.69 eV/atom

---

Crystalline La2PdRhO6 at its relaxed geometry. Source: Alexandria via LeMat-Bulk, functional PBE.

POSCAR file:
```
La2PdRhO6
1.0
5.362 -2.708 0.000
5.362 2.708 0.000
-1.928 0.000 4.737
La Pd Rh O
2 1 1 6
Cartesian
2.131 0.000 1.051
6.666 0.000 3.685
-0.964 0.000 2.368
5.362 0.000 0.000
4.166 1.371 0.857
1.886 0.000 3.350
4.630 1.371 3.880
4.166 -1.371 0.857
6.911 0.000 1.386
4.630 -1.371 3.880
```

## Properties
Energy relative to the elements, uncorrected ... -2.01 eV/atom

---

| no. | energy (eV per atom) | M_tot (μB per formula unit) |
| --- | --- | --- |
| 1 | -6.096 | 0.00 |
| 2 | -7.287 | 0.94 |
| 3 | -7.226 | 0.95 |